Crystalline AlGe2Te at its relaxed geometry, computed with GGA-PBE.

Calculated values
The value obtained for the final energy is -3.6838 eV per atom. As for the symmetry: Fm-3m. As for the uncorrected formation energy: 0.346 eV/atom. The calculation puts the excess energy over the best structure of this formula in the dataset at 163 meV/atom.

Lattice parameters (Å, degrees): 4.9621 4.9621 4.9621 60.00 60.00 60.00
Last column: nearest neighbours and their distance in Å.
Fractional coordinates of all 4 atoms:
Al: 0.0000 0.0000 0.0000  8 Ge 3.04
Ge: 0.2500 0.2500 0.2500  4 Te 3.04, 4 Al 3.04
Ge: 0.7500 0.7500 0.7500  4 Te 3.04, 4 Al 3.04
Te: 0.5000 0.5000 0.5000  8 Ge 3.04